(1)
Al2Tc | PBE | relaxed

The formation energy is -283 meV per atom. As for the magnetization: 0.01 Bohr magnetons per cell.

Lattice parameters (Å, degrees): 3.944 3.944 22.620 90.00 90.00 90.00
Space group I4_1/amd (No. 141, origin choice 2)
Unique sites:
Al 0.000 0.250 0.125
Al 0.000 0.250 0.287
Tc 0.000 0.250 0.801

(2)
Al2Tc | PBE | relaxed

The formation energy is -291 meV per atom. As for the magnetization: 0.00 Bohr magnetons per cell.

Lattice parameters (Å, degrees): 9.484 3.072 6.262 90.00 102.56 90.00
Space group Cm (No. 8)
Unique sites:
Al 0.000 0.000 0.000
Al 0.048 0.000 0.574
Al 0.185 0.500 0.311
Al 0.335 0.000 0.672
Tc 0.207 0.500 0.905
Tc 0.394 0.000 0.264

(3)
Al2Tc | PBE | relaxed

The formation energy is 113 meV per atom. As for the magnetization: 0.00 Bohr magnetons per cell.

Lattice parameters (Å, degrees): 5.865 7.313 2.684 90.00 90.00 90.00
Space group Pnnm (No. 58)
Unique sites:
Al 0.232 0.235 0.000
Tc 0.000 0.000 0.500

(4)
AlTc3 | PBE | relaxed

The formation energy is 34 meV per atom. As for the magnetization: 0.00 Bohr magnetons per cell.

Lattice parameters (Å, degrees): 2.928 4.569 8.763 90.00 90.00 90.00
Space group Cmmm (No. 65)
Unique sites:
Al 0.000 0.000 0.000
Tc 0.000 0.000 0.500
Tc 0.000 0.500 0.247

Q: magnetization of number 1 (Al2Tc)?
A: 0.01 Bohr magnetons per cell